Entry 1:
Computed, not measured: an optimized crystal structure of VAsPd3 at the GGA-PBE level of DFT.

Cell: 4.625 4.625 4.625 Å, 90.00 90.00 90.00°
Last column: magnetic moment on the atom in μB.
Fractional positions:
Pd1 0.000 0.000 0.500  0.00
Pd2 0.500 0.000 0.000  0.00
Pd3 0.000 0.500 0.000  0.00
As1 0.000 0.000 0.000  -0.03
V1 0.500 0.500 0.500  2.77

Results
Its space-group type is Pm-3m. For the formation energy, the calculation gives 0.361 eV/atom. The calculation puts the final energy at -5.51 eV/atom. Its crystal system is cubic. For the size of the total moment, the calculation gives 3.3 μB per formula unit. Its energy above the most stable polymorph in this dataset is 0 meV/atom.

---

Entry 2:
Computed, not measured: an optimized crystal structure of As2Pd2W at the GGA-PBE level of DFT.

Cell: 6.884 6.884 3.436 Å, 90.00 90.00 90.00°
Fractional positions:
As1 0.158 0.342 0.000
As2 0.658 0.158 0.000
As3 0.342 0.842 0.000
As4 0.842 0.658 0.000
Pd1 0.647 0.853 0.500
Pd2 0.853 0.353 0.500
Pd3 0.147 0.647 0.500
Pd4 0.353 0.147 0.500
W1 0.000 0.000 0.000
W2 0.500 0.500 0.000

Results
Its space-group type is P4/mbm. For the formation energy, the calculation gives 0.082 eV/atom. The calculation puts the final energy at -6.45 eV/atom. Its crystal system is tetragonal. For the size of the total moment, the calculation gives 0.0 μB per formula unit.

---

Entry 3:
Computed, not measured: an optimized crystal structure of AsPdW3 at the GGA-PBE level of DFT.

Cell: 4.748 4.748 4.748 Å, 90.00 90.00 90.00°
Fractional positions:
W1 0.000 0.500 0.000
W2 0.500 0.000 0.000
W3 0.000 0.000 0.500
As1 0.500 0.500 0.500
Pd1 0.000 0.000 0.000

Results
Its space-group type is Pm-3m. For the formation energy, the calculation gives 2.330 eV/atom. The calculation puts the final energy at -7.41 eV/atom. Its crystal system is cubic. For the size of the total moment, the calculation gives 0.0 μB per formula unit.